# 1
Li3Ga6Ni | PBE-GGA | relaxed

Total magnetization, μB per formula unit: 0.0
Total DFT energy (no corrections), eV per formula unit: -31.2
DOS at the Fermi energy, states/eV per cell: 6.18

Cell lengths 9.9291, 5.3666, 7.2735 Å; angles 90.00, 115.75, 90.00 degrees
Space group C2/m (No. 12)
Inequivalent atoms, fractional coordinates:
Li 0.0000 0.0000 0.0000 (multiplicity 2)
Li 0.1388 0.0000 0.7030 (multiplicity 4)
Ga 0.1223 0.2527 0.3362 (multiplicity 8)
Ga 0.2027 0.5000 0.8520 (multiplicity 4)
Ni 0.0000 0.5000 0.5000 (multiplicity 2)

# 2
LiGa8Ni5 | PBE-GGA | relaxed

Total magnetization, μB per formula unit: 0.0
Total DFT energy (no corrections), eV per formula unit: -58.1
DOS at the Fermi energy, states/eV per cell: 14.42

Cell lengths 7.1160, 7.1160, 7.8169 Å; angles 90.00, 90.00, 90.00 degrees
Space group I-4 (No. 82)
Inequivalent atoms, fractional coordinates:
Li 0.0000 0.0000 0.0000 (multiplicity 2)
Ga 0.0723 0.1706 0.3383 (multiplicity 8)
Ga 0.0937 0.3425 0.9787 (multiplicity 8)
Ni 0.0000 0.5000 0.2500 (multiplicity 2)
Ni 0.1434 0.2791 0.6662 (multiplicity 8)

# 3
Li3Ga2Ni4 | PBE-GGA | relaxed

Total magnetization, μB per formula unit: 0.0
Total DFT energy (no corrections), eV per formula unit: -37.5
DOS at the Fermi energy, states/eV per cell: 5.20

Cell lengths 6.9897, 4.0321, 7.5691 Å; angles 90.00, 90.08, 90.00 degrees
Space group C2/m (No. 12)
Inequivalent atoms, fractional coordinates:
Li 0.0000 0.0000 0.0000 (multiplicity 2)
Li 0.1663 0.5000 0.5549 (multiplicity 4)
Ga 0.1671 0.5000 0.2153 (multiplicity 4)
Ni 0.0006 0.0000 0.3222 (multiplicity 4)
Ni 0.1663 0.5000 0.8885 (multiplicity 4)

# 4
LiGa4Ni2 | PBE-GGA | relaxed

Total magnetization, μB per formula unit: 0.0
Total DFT energy (no corrections), eV per formula unit: -28.2
DOS at the Fermi energy, states/eV per cell: 7.73

Cell lengths 4.1220, 4.1220, 20.0173 Å; angles 90.00, 90.00, 120.00 degrees
Space group R-3m (No. 166, hexagonal axes)
Inequivalent atoms, fractional coordinates:
Li 0.0000 0.0000 0.0000 (multiplicity 3)
Ga 0.0000 0.0000 0.1299 (multiplicity 6)
Ga 0.0000 0.0000 0.3837 (multiplicity 6)
Ni 0.0000 0.0000 0.2531 (multiplicity 6)

# 5
Li2Ga6Ni | PBE-GGA | relaxed

Total magnetization, μB per formula unit: 0.0
Total DFT energy (no corrections), eV per formula unit: -29.8
DOS at the Fermi energy, states/eV per cell: 2.96

Cell lengths 6.1395, 4.1178, 6.6716 Å; angles 90.00, 117.36, 90.00 degrees
Space group P2/m (No. 10)
Inequivalent atoms, fractional coordinates:
Li 0.2126 0.0000 0.4247 (multiplicity 2)
Ga 0.1495 0.5000 0.7143 (multiplicity 2)
Ga 0.2496 0.0000 0.0013 (multiplicity 2)
Ga 0.4342 0.5000 0.2860 (multiplicity 2)
Ni 0.0000 0.5000 0.0000 (multiplicity 1)

# 6
Li3Ga4Ni2 | PBE-GGA | relaxed

Total magnetization, μB per formula unit: 0.0
Total DFT energy (no corrections), eV per formula unit: -32.8
DOS at the Fermi energy, states/eV per cell: 3.48

Cell lengths 4.1697, 4.1697, 7.8825 Å; angles 90.00, 90.00, 120.00 degrees
Space group P-3m1 (No. 164)
Inequivalent atoms, fractional coordinates:
Li 0.0000 0.0000 0.0000 (multiplicity 1)
Li 0.3333 0.6667 0.4527 (multiplicity 2)
Ga 0.0000 0.0000 0.3228 (multiplicity 2)
Ga 0.3333 0.6667 0.1200 (multiplicity 2)
Ni 0.3333 0.6667 0.7896 (multiplicity 2)

# 7
Li2Ga4Ni3 | PBE-GGA | relaxed

Total magnetization, μB per formula unit: 0.0
Total DFT energy (no corrections), eV per formula unit: -36.4
DOS at the Fermi energy, states/eV per cell: 2.25

Cell lengths 4.1376, 4.1376, 7.7347 Å; angles 90.00, 90.00, 120.00 degrees
Space group P-3m1 (No. 164)
Inequivalent atoms, fractional coordinates:
Li 0.3333 0.6667 0.2634 (multiplicity 2)
Ga 0.0000 0.0000 0.1631 (multiplicity 2)
Ga 0.3333 0.6667 0.6039 (multiplicity 2)
Ni 0.0000 0.0000 0.5000 (multiplicity 1)
Ni 0.3333 0.6667 0.9261 (multiplicity 2)

# 8
LiGa3Ni5 | PBE-GGA | relaxed

Total magnetization, μB per formula unit: 0.0
Total DFT energy (no corrections), eV per formula unit: -42.8
DOS at the Fermi energy, states/eV per cell: 11.26

Cell lengths 7.0836, 7.0836, 5.0321 Å; angles 90.00, 90.00, 120.00 degrees
Space group P6_3/mcm (No. 193)
Inequivalent atoms, fractional coordinates:
Li 0.0000 0.0000 0.0000 (multiplicity 2)
Ga 0.0000 0.3492 0.2500 (multiplicity 6)
Ni 0.0000 0.3202 0.7500 (multiplicity 6)
Ni 0.3333 0.6667 0.0000 (multiplicity 4)

Summary of formation enthalpy at 0 K in meV/atom
-147, -217, -283, -375, -227, -375, -345, -317
(order as listed above)